A relaxed structure of PtSBr, computed with GGA-PBE. Values from VASP.

Calculated values
The space group is P2_1/c. As for the uncorrected formation energy: -0.082 eV per atom.

```
&SYSTEM
  ibrav = 0, nat = 12, ntyp = 3
/
ATOMIC_SPECIES
Pt 195.08 Pt.upf
S 32.06 S.upf
Br 79.90 Br.upf
CELL_PARAMETERS angstrom
6.618 0.000 0.000
0.000 5.517 0.000
-0.486 0.000 6.997
ATOMIC_POSITIONS crystal
Pt 0.212 0.032 0.357
Pt 0.212 0.468 0.857
Pt 0.788 0.532 0.143
Pt 0.788 0.968 0.643
S 0.052 0.242 0.100
S 0.052 0.258 0.600
S 0.948 0.742 0.400
S 0.948 0.758 0.900
Br 0.413 0.742 0.121
Br 0.413 0.758 0.621
Br 0.587 0.242 0.379
Br 0.587 0.258 0.879
```

***

A relaxed structure of PtS2Br, computed with GGA-PBE. Values from VASP.

Calculated values
The space group is R-3m. As for the uncorrected formation energy: -0.149 eV per atom.

```
&SYSTEM
  ibrav = 0, nat = 12, ntyp = 3
/
ATOMIC_SPECIES
Pt 195.08 Pt.upf
S 32.06 S.upf
Br 79.90 Br.upf
CELL_PARAMETERS angstrom
3.733 0.000 0.000
-1.867 3.233 0.000
0.000 0.000 22.254
ATOMIC_POSITIONS crystal
Pt 0.000 0.000 0.000
Pt 0.333 0.667 0.667
Pt 0.667 0.333 0.333
S 0.000 0.000 0.386
S 0.000 0.000 0.614
S 0.333 0.667 0.052
S 0.333 0.667 0.281
S 0.667 0.333 0.719
S 0.667 0.333 0.948
Br 0.000 0.000 0.500
Br 0.333 0.667 0.167
Br 0.667 0.333 0.833
```

***

A relaxed structure of PtSeSBr2, computed with GGA-PBE. Values from VASP.

Calculated values
The space group is P4/mmm. As for the uncorrected formation energy: 0.622 eV per atom.

```
&SYSTEM
  ibrav = 0, nat = 5, ntyp = 4
/
ATOMIC_SPECIES
Pt 195.08 Pt.upf
Se 78.96 Se.upf
S 32.06 S.upf
Br 79.90 Br.upf
CELL_PARAMETERS angstrom
5.231 0.000 0.000
0.000 5.231 0.000
0.000 0.000 4.853
ATOMIC_POSITIONS crystal
Pt 0.000 0.000 0.000
Se 0.000 0.000 0.500
S 0.500 0.500 0.500
Br 0.000 0.500 0.000
Br 0.500 0.000 0.000
```

***

A relaxed structure of PtSeSBr2, computed with GGA-PBE. Values from VASP.

Calculated values
The space group is P4/mmm. As for the uncorrected formation energy: 0.995 eV per atom.

```
&SYSTEM
  ibrav = 0, nat = 5, ntyp = 4
/
ATOMIC_SPECIES
Pt 195.08 Pt.upf
Se 78.96 Se.upf
S 32.06 S.upf
Br 79.90 Br.upf
CELL_PARAMETERS angstrom
4.746 0.000 0.000
0.000 4.746 0.000
0.000 0.000 5.457
ATOMIC_POSITIONS crystal
Pt 0.000 0.000 0.000
Se 0.500 0.500 0.000
S 0.500 0.500 0.500
Br 0.000 0.500 0.500
Br 0.500 0.000 0.500
```

***

A relaxed structure of PtSe2SBr, computed with GGA-PBE. Values from VASP.

Calculated values
The space group is P4/mmm. As for the uncorrected formation energy: 0.719 eV per atom.

```
&SYSTEM
  ibrav = 0, nat = 5, ntyp = 4
/
ATOMIC_SPECIES
Pt 195.08 Pt.upf
Se 78.96 Se.upf
S 32.06 S.upf
Br 79.90 Br.upf
CELL_PARAMETERS angstrom
4.950 0.000 0.000
0.000 4.950 0.000
0.000 0.000 5.064
ATOMIC_POSITIONS crystal
Pt 0.000 0.000 0.000
Se 0.000 0.500 0.000
Se 0.500 0.000 0.000
S 0.500 0.500 0.500
Br 0.000 0.000 0.500
```

***

A relaxed structure of PtSe2SBr, computed with GGA-PBE. Values from VASP.

Calculated values
The space group is P4/mmm. As for the uncorrected formation energy: 1.007 eV per atom.

```
&SYSTEM
  ibrav = 0, nat = 5, ntyp = 4
/
ATOMIC_SPECIES
Pt 195.08 Pt.upf
Se 78.96 Se.upf
S 32.06 S.upf
Br 79.90 Br.upf
CELL_PARAMETERS angstrom
4.917 0.000 0.000
0.000 4.917 0.000
0.000 0.000 4.718
ATOMIC_POSITIONS crystal
Pt 0.000 0.000 0.000
Se 0.000 0.500 0.500
Se 0.500 0.000 0.500
S 0.500 0.500 0.500
Br 0.500 0.500 0.000
```

***

A relaxed structure of Sr6Pt2SBr3, computed with GGA-PBE. Values from VASP.

Calculated values
The space group is C2/m. As for the uncorrected formation energy: -1.429 eV per atom.

```
&SYSTEM
  ibrav = 0, nat = 12, ntyp = 4
/
ATOMIC_SPECIES
Sr 87.62 Sr.upf
Pt 195.08 Pt.upf
S 32.06 S.upf
Br 79.90 Br.upf
CELL_PARAMETERS angstrom
3.823 -6.623 0.000
3.823 6.623 0.000
-2.556 0.000 7.725
ATOMIC_POSITIONS crystal
Sr 0.096 0.431 0.791
Sr 0.234 0.234 0.208
Sr 0.431 0.096 0.791
Sr 0.569 0.904 0.209
Sr 0.766 0.766 0.792
Sr 0.904 0.569 0.209
Pt 0.167 0.833 0.000
Pt 0.833 0.167 0.000
S 0.500 0.500 0.000
Br 0.000 0.000 0.500
Br 0.339 0.661 0.500
Br 0.661 0.339 0.500
```

***

A relaxed structure of ZnPtS2Br, computed with GGA-PBE. Values from VASP.

Calculated values
The space group is P4/mmm. As for the uncorrected formation energy: 1.201 eV per atom.

```
&SYSTEM
  ibrav = 0, nat = 5, ntyp = 4
/
ATOMIC_SPECIES
Zn 65.41 Zn.upf
Pt 195.08 Pt.upf
S 32.06 S.upf
Br 79.90 Br.upf
CELL_PARAMETERS angstrom
4.930 0.000 0.000
0.000 4.930 0.000
0.000 0.000 4.792
ATOMIC_POSITIONS crystal
Zn 0.000 0.000 0.000
Pt 0.500 0.500 0.000
S 0.000 0.500 0.500
S 0.500 0.000 0.500
Br 0.500 0.500 0.500
```

***

A relaxed structure of Zr2PtSBr, computed with GGA-PBE. Values from VASP.

Calculated values
The space group is P4/mmm. As for the uncorrected formation energy: -0.251 eV per atom.

```
&SYSTEM
  ibrav = 0, nat = 5, ntyp = 4
/
ATOMIC_SPECIES
Zr 91.22 Zr.upf
Pt 195.08 Pt.upf
S 32.06 S.upf
Br 79.90 Br.upf
CELL_PARAMETERS angstrom
4.937 0.000 0.000
0.000 4.937 0.000
0.000 0.000 4.468
ATOMIC_POSITIONS crystal
Zr 0.000 0.500 0.000
Zr 0.500 0.000 0.000
Pt 0.000 0.000 0.500
S 0.000 0.000 0.000
Br 0.500 0.500 0.500
```

***

A relaxed structure of SbPtBr, computed with GGA-PBE. Values from VASP.

Calculated values
The space group is Fmm2. As for the uncorrected formation energy: -0.053 eV per atom.

```
&SYSTEM
  ibrav = 0, nat = 12, ntyp = 3
/
ATOMIC_SPECIES
Sb 121.76 Sb.upf
Pt 195.08 Pt.upf
Br 79.90 Br.upf
CELL_PARAMETERS angstrom
4.107 0.000 0.000
0.000 5.759 0.000
0.000 0.000 12.616
ATOMIC_POSITIONS crystal
Sb 0.000 0.000 0.000
Sb 0.000 0.500 0.500
Sb 0.500 0.000 0.500
Sb 0.500 0.500 0.000
Pt 0.000 0.000 0.375
Pt 0.000 0.500 0.875
Pt 0.500 0.000 0.875
Pt 0.500 0.500 0.375
Br 0.000 0.000 0.732
Br 0.000 0.500 0.232
Br 0.500 0.000 0.232
Br 0.500 0.500 0.732
```

***

A relaxed structure of SbPtBr2, computed with GGA-PBE. Values from VASP.

Calculated values
The space group is Cmm2. As for the uncorrected formation energy: -0.049 eV per atom.

```
&SYSTEM
  ibrav = 0, nat = 8, ntyp = 3
/
ATOMIC_SPECIES
Sb 121.76 Sb.upf
Pt 195.08 Pt.upf
Br 79.90 Br.upf
CELL_PARAMETERS angstrom
3.972 0.000 0.000
0.000 6.521 0.000
0.000 0.000 9.114
ATOMIC_POSITIONS crystal
Sb 0.000 0.000 0.000
Sb 0.500 0.500 0.000
Pt 0.000 0.500 0.176
Pt 0.500 0.000 0.176
Br 0.000 0.000 0.360
Br 0.000 0.500 0.749
Br 0.500 0.000 0.749
Br 0.500 0.500 0.360
```

***

A relaxed structure of SbPtBr2, computed with GGA-PBE. Values from VASP.

Calculated values
The space group is C2/m. As for the uncorrected formation energy: 0.003 eV per atom.

```
&SYSTEM
  ibrav = 0, nat = 8, ntyp = 3
/
ATOMIC_SPECIES
Sb 121.76 Sb.upf
Pt 195.08 Pt.upf
Br 79.90 Br.upf
CELL_PARAMETERS angstrom
16.316 0.000 0.000
0.000 3.799 0.000
-0.506 0.000 3.761
ATOMIC_POSITIONS crystal
Sb 0.000 0.000 0.000
Sb 0.500 0.500 0.000
Pt 0.000 0.500 0.500
Pt 0.500 0.000 0.500
Br 0.164 0.000 0.166
Br 0.336 0.500 0.834
Br 0.664 0.500 0.166
Br 0.836 0.000 0.834
```

***

A relaxed structure of SbPt4Br, computed with GGA-PBE. Values from VASP.

Calculated values
The space group is F-43m. As for the uncorrected formation energy: 0.230 eV per atom.

```
&SYSTEM
  ibrav = 0, nat = 6, ntyp = 3
/
ATOMIC_SPECIES
Sb 121.76 Sb.upf
Pt 195.08 Pt.upf
Br 79.90 Br.upf
CELL_PARAMETERS angstrom
0.000 3.844 3.844
3.844 0.000 3.844
3.844 3.844 0.000
ATOMIC_POSITIONS crystal
Sb 0.000 0.000 0.000
Pt 0.375 0.375 0.375
Pt 0.375 0.375 0.876
Pt 0.375 0.876 0.375
Pt 0.876 0.375 0.375
Br 0.750 0.750 0.750
```

***

A relaxed structure of SbPtBr, computed with GGA-PBE. Values from VASP.

Calculated values
The space group is P3m1. As for the uncorrected formation energy: -0.335 eV per atom.

```
&SYSTEM
  ibrav = 0, nat = 3, ntyp = 3
/
ATOMIC_SPECIES
Sb 121.76 Sb.upf
Pt 195.08 Pt.upf
Br 79.90 Br.upf
CELL_PARAMETERS angstrom
3.830 0.000 0.000
-1.915 3.317 0.000
0.000 0.000 6.856
ATOMIC_POSITIONS crystal
Sb 0.000 0.000 0.000
Pt 0.333 0.667 0.788
Br 0.667 0.333 0.551
```

***

A relaxed structure of SbPtBr2, computed with GGA-PBE. Values from VASP.

Calculated values
The space group is Cm. As for the uncorrected formation energy: -0.379 eV per atom.

```
&SYSTEM
  ibrav = 0, nat = 8, ntyp = 3
/
ATOMIC_SPECIES
Sb 121.76 Sb.upf
Pt 195.08 Pt.upf
Br 79.90 Br.upf
CELL_PARAMETERS angstrom
7.093 0.000 0.000
0.000 4.072 0.000
-1.068 0.000 8.778
ATOMIC_POSITIONS crystal
Sb 0.000 0.000 0.000
Sb 0.500 0.500 0.000
Pt 0.147 0.500 0.869
Pt 0.647 0.000 0.869
Br 0.052 0.000 0.289
Br 0.283 0.000 0.690
Br 0.552 0.500 0.289
Br 0.783 0.500 0.690
```

***

A relaxed structure of SbPtBr2, computed with GGA-PBE. Values from VASP.

Calculated values
The space group is Imm2. As for the uncorrected formation energy: -0.246 eV per atom.

```
&SYSTEM
  ibrav = 0, nat = 8, ntyp = 3
/
ATOMIC_SPECIES
Sb 121.76 Sb.upf
Pt 195.08 Pt.upf
Br 79.90 Br.upf
CELL_PARAMETERS angstrom
3.914 0.000 0.000
0.000 4.856 0.000
0.000 0.000 16.814
ATOMIC_POSITIONS crystal
Sb 0.000 0.000 0.000
Sb 0.500 0.500 0.500
Pt 0.000 0.500 0.405
Pt 0.500 0.000 0.905
Br 0.000 0.000 0.804
Br 0.000 0.500 0.080
Br 0.500 0.000 0.580
Br 0.500 0.500 0.304
```

***

A relaxed structure of SbPtBr, computed with GGA-PBE. Values from VASP.

Calculated values
The space group is C2/c. As for the uncorrected formation energy: -0.257 eV per atom.

```
&SYSTEM
  ibrav = 0, nat = 12, ntyp = 3
/
ATOMIC_SPECIES
Sb 121.76 Sb.upf
Pt 195.08 Pt.upf
Br 79.90 Br.upf
CELL_PARAMETERS angstrom
5.473 0.000 0.000
0.000 19.179 0.000
-1.406 0.000 3.495
ATOMIC_POSITIONS crystal
Sb 0.000 0.174 0.250
Sb 0.000 0.826 0.750
Sb 0.500 0.326 0.750
Sb 0.500 0.674 0.250
Pt 0.000 0.270 0.750
Pt 0.000 0.730 0.250
Pt 0.500 0.230 0.250
Pt 0.500 0.770 0.750
Br 0.000 0.408 0.750
Br 0.000 0.592 0.250
Br 0.500 0.092 0.250
Br 0.500 0.908 0.750
```

***

A relaxed structure of SbPtBr2, computed with GGA-PBE. Values from VASP.

Calculated values
The space group is Fmmm. As for the uncorrected formation energy: 0.262 eV per atom.

```
&SYSTEM
  ibrav = 0, nat = 16, ntyp = 3
/
ATOMIC_SPECIES
Sb 121.76 Sb.upf
Pt 195.08 Pt.upf
Br 79.90 Br.upf
CELL_PARAMETERS angstrom
6.280 0.000 0.000
0.000 6.782 0.000
0.000 0.000 9.112
ATOMIC_POSITIONS crystal
Sb 0.000 0.000 0.000
Sb 0.000 0.500 0.500
Sb 0.500 0.000 0.500
Sb 0.500 0.500 0.000
Pt 0.000 0.000 0.500
Pt 0.000 0.500 0.000
Pt 0.500 0.000 0.000
Pt 0.500 0.500 0.500
Br 0.000 0.250 0.250
Br 0.000 0.250 0.750
Br 0.000 0.750 0.250
Br 0.000 0.750 0.750
Br 0.500 0.250 0.250
Br 0.500 0.250 0.750
Br 0.500 0.750 0.250
Br 0.500 0.750 0.750
```

***

A relaxed structure of SbPtBr2, computed with GGA-PBE. Values from VASP.

Calculated values
The space group is Pmmm. As for the uncorrected formation energy: 0.369 eV per atom.

```
&SYSTEM
  ibrav = 0, nat = 4, ntyp = 3
/
ATOMIC_SPECIES
Sb 121.76 Sb.upf
Pt 195.08 Pt.upf
Br 79.90 Br.upf
CELL_PARAMETERS angstrom
3.293 0.000 0.000
0.000 4.737 0.000
0.000 0.000 5.897
ATOMIC_POSITIONS crystal
Sb 0.000 0.000 0.000
Pt 0.500 0.000 0.500
Br 0.000 0.500 0.500
Br 0.500 0.500 0.000
```

***

A relaxed structure of Sb2PtBr8, computed with GGA-PBE. Values from VASP.

Calculated values
The space group is C2/m. As for the uncorrected formation energy: -0.413 eV per atom.

```
&SYSTEM
  ibrav = 0, nat = 11, ntyp = 3
/
ATOMIC_SPECIES
Sb 121.76 Sb.upf
Pt 195.08 Pt.upf
Br 79.90 Br.upf
CELL_PARAMETERS angstrom
6.573 -3.711 0.000
6.573 3.711 0.000
-2.529 0.000 9.082
ATOMIC_POSITIONS crystal
Sb 0.126 0.126 0.387
Sb 0.874 0.874 0.613
Pt 0.000 0.000 0.000
Br 0.113 0.113 0.679
Br 0.118 0.653 0.854
Br 0.333 0.333 0.480
Br 0.347 0.882 0.146
Br 0.653 0.118 0.854
Br 0.667 0.667 0.520
Br 0.882 0.347 0.146
Br 0.887 0.887 0.321
```